VASP calculation (PBE) on a geometry-optimized UTiAsN structure.

Cell: 3.871 3.871 8.823 Å, 90.00 90.00 90.00°
Space group P4/nmm (No. 129, origin choice 2)
One atom of each set of equivalent atoms:
1 U 0.250 0.250 0.132 x2
2 Ti 0.250 0.750 0.500 x2
3 As 0.250 0.250 0.699 x2
4 N 0.250 0.750 0.000 x2

Results
Size of the total moment in μB/f.u.: 1.12
Crystal system: tetragonal
Energy relative to the elements, uncorrected in eV/atom: -1.10
V in Å³/cell: 132.21